<A>
A relaxed structure of LiPm3Al2, computed with PBE.

abc: 3.6813 3.6813 11.5387
angles: 90.00 90.00 90.00
Closest atoms and distances in Å follow each position.
Space group P4/mmm (No. 123)
Unique sites:
Li 0.0000 0.0000 0.0000  8 Pm 3.34, 4 Li 3.68
Pm 0.5000 0.5000 0.1809  4 Al 3.15, 4 Li 3.34
Pm 0.5000 0.5000 0.5000  8 Al 3.23
Al 0.0000 0.0000 0.3339  8 Pm 3.15-3.23

***

<B>
A relaxed structure of LiPm3Al2, computed with PBE.

abc: 5.2567 5.2567 12.9259
angles: 90.00 90.00 120.00
Closest atoms and distances in Å follow each position.
Space group P-3m1 (No. 164)
Unique sites:
Li 0.3333 0.6667 0.1691  8 Pm 3.23-3.28
Pm 0.0000 0.0000 0.2542  5 Al 3.18-3.29, 3 Li 3.23
Pm 0.3333 0.6667 0.4186  7 Al 3.21-3.27, 1 Li 3.23
Pm 0.3333 0.6667 0.9155  4 Al 3.15-3.23, 4 Li 3.23-3.28
Al 0.0000 0.0000 0.0000  8 Pm 3.23-3.29
Al 0.0000 0.0000 0.5000  8 Pm 3.18-3.21
Al 0.3333 0.6667 0.6719  8 Pm 3.15-3.27

***

Stability ranking, top entry: <B>; the second entry is 19 meV per atom less favorable.

***

<A>
A relaxed structure of LiPr4Al, computed with PBE.

abc: 12.9829 3.8483 7.6195
angles: 90.00 107.10 90.00
Closest atoms and distances in Å follow each position.
Space group C2/m (No. 12)
Unique sites:
Li 0.0000 0.0000 0.0000  8 Pr 3.26-3.31
Pr 0.1431 0.5000 0.8171  2 Al 3.22, 2 Li 3.26
Pr 0.1499 0.5000 0.3301  2 Al 3.26, 2 Li 3.31, 3 Pr 3.63-3.64
Al 0.0000 0.0000 0.5000  8 Pr 3.22-3.26

***

<B>
A relaxed structure of LiPr4Al, computed with PBE.

abc: 5.0417 5.0417 8.1046
angles: 90.00 90.00 90.00
Closest atoms and distances in Å follow each position.
Space group P4/mmm (No. 123)
Unique sites:
Li 0.0000 0.0000 0.0000  8 Pr 3.32
Pr 0.0000 0.5000 0.2665  2 Al 3.15, 2 Li 3.32
Al 0.5000 0.5000 0.5000  8 Pr 3.15

***

Stability ranking, top entry: <A>; the second entry is 268 meV per atom less favorable.

***

<A>
A relaxed structure of LiPrAl, computed with PBE.

abc: 3.4499 3.4499 11.7825
angles: 90.00 90.00 90.00
Closest atoms and distances in Å follow each position.
Space group I4mm (No. 107)
Unique sites:
Li 0.0000 0.0000 0.0000  4 Al 2.78
Pr 0.0000 0.0000 0.2940  4 Al 3.24, 5 Li 3.44-3.46, 4 Pr 3.45
Al 0.0000 0.0000 0.6126  4 Li 2.78

***

<B>
A relaxed structure of LiPrAl, computed with PBE.

abc: 4.9872 4.9872 3.3248
angles: 90.00 90.00 120.00
Closest atoms and distances in Å follow each position.
Space group P-6m2 (No. 187)
Unique sites:
Li 0.0000 0.0000 0.0000  3 Al 2.88
Pr 0.3333 0.6667 0.5000  6 Li 3.32, 6 Al 3.32, 2 Pr 3.32
Al 0.6667 0.3333 0.0000  3 Li 2.88

***

<C>
A relaxed structure of LiPrAl, computed with PBE.

abc: 3.5642 4.9677 8.7345
angles: 106.42 101.69 90.04
Closest atoms and distances in Å follow each position.
Space group P1 (No. 1)
Unique sites:
Li 0.0000 0.0000 0.0000  2 Al 2.52, 1 Li 2.57
Li 0.1572 0.1555 0.3134  1 Li 2.57, 2 Al 2.74
Pr 0.5550 0.5543 0.1092  8 Li 3.18-3.49, 2 Al 3.35, 2 Pr 3.56
Pr 0.8249 0.3219 0.6488  8 Al 3.24-3.45, 2 Li 3.27-3.28, 2 Pr 3.56
Al 0.2280 0.7258 0.4554  1 Al 2.67, 2 Li 2.74
Al 0.3912 0.8878 0.7819  2 Li 2.52, 1 Al 2.67

***

<D>
A relaxed structure of LiPrAl, computed with PBE.

abc: 5.6422 5.9566 8.1248
angles: 90.00 90.00 90.00
Closest atoms and distances in Å follow each position.
Space group Imma (No. 74)
Unique sites:
Li 0.2500 0.2500 0.2500  2 Li 2.82, 4 Al 2.89
Pr 0.0000 0.2500 0.6393  6 Al 3.29-3.38, 2 Pr 3.35, 6 Li 3.42-3.46
Al 0.0000 0.0000 0.0000  4 Li 2.89, 2 Al 2.98

***

Stability ranking, top entry: <D>; the second entry is 30 meV per atom less favorable.

***

<A>
A relaxed structure of LiPrAl2, computed with PBE.

abc: 3.4298 3.4298 7.2065
angles: 90.00 90.00 90.00
Closest atoms and distances in Å follow each position.
Space group P4/mmm (No. 123)
Unique sites:
Li 0.0000 0.0000 0.0000  8 Al 2.79
Pr 0.0000 0.0000 0.5000  8 Al 3.28, 4 Pr 3.43, 2 Li 3.60
Al 0.5000 0.5000 0.1926  1 Al 2.78, 4 Li 2.79

***

<B>
A relaxed structure of LiPrAl2, computed with PBE.

abc: 7.0599 7.0599 7.0599
angles: 90.00 90.00 90.00
Closest atoms and distances in Å follow each position.
Space group Fm-3m (No. 225)
Unique sites:
Li 0.0000 0.0000 0.0000  8 Al 3.06
Pr 0.0000 0.0000 0.5000  8 Al 3.06
Al 0.2500 0.2500 0.2500  4 Li 3.06, 4 Pr 3.06

***

Stability ranking, top entry: <A>; the second entry is 24 meV per atom less favorable.